No. 1
The following is a DFT calculation (PBE-GGA) of a relaxed SrCrBr2 crystal.

Structure (extended XYZ):
```
4
Lattice="-1.972 2.755 5.380 1.972 -2.755 5.380 1.972 2.755 -5.380" Properties=species:S:1:pos:R:3 pbc="T T T"
Sr 0.000 0.000 0.000
Cr 0.000 2.755 2.459
Br 1.972 0.000 2.465
Br 0.000 0.000 5.659
```

Output
E above lowest polymorph ... 102 meV per atom
Space-group type ... No. 44
Raw formation energy ... -0.590 eV/atom

***

No. 2
The following is a DFT calculation (PBE-GGA) of a relaxed BaIrCl crystal.

Structure (extended XYZ):
```
6
Lattice="-2.832 4.639 2.919 2.832 -4.639 2.919 2.832 4.639 -2.919" Properties=species:S:1:pos:R:3 pbc="T T T"
Ba 0.000 0.000 0.000
Ba 0.000 4.639 0.000
Ir 2.832 2.320 0.766
Ir 0.000 2.320 2.153
Cl 1.416 2.320 -1.459
Cl 1.416 -2.320 1.459
```

Output
E above lowest polymorph ... 880 meV per atom
Space-group type ... No. 74
Raw formation energy ... -0.306 eV/atom

***

No. 3
The following is a DFT calculation (PBE-GGA) of a relaxed LiMg3Pt4 crystal.

Structure (extended XYZ):
```
8
Lattice="7.404 -2.077 0.000 7.404 2.077 0.000 -1.159 0.000 3.989" Properties=species:S:1:pos:R:3 pbc="T T T"
Li 0.000 0.000 0.000
Mg 3.398 0.000 0.993
Mg 6.824 0.000 1.994
Mg 10.250 0.000 2.996
Pt 1.108 0.000 2.488
Pt 4.557 0.000 3.496
Pt 9.091 0.000 0.493
Pt 12.540 0.000 1.501
```

Output
Formation energy ... -0.80 eV per atom
Space-group type ... No. 12

***

No. 4
The following is a DFT calculation (PBE-GGA) of a relaxed Ni2AsBr crystal.

Structure (extended XYZ):
```
8
Lattice="-2.869 2.869 4.746 2.869 -2.869 4.746 2.869 2.869 -4.746" Properties=species:S:1:pos:R:3 pbc="T T T"
Ni 4.303 1.302 -1.187
Ni 1.302 1.434 1.187
Ni -1.434 1.567 3.560
Ni 1.567 1.434 5.933
As 0.000 0.000 0.000
As 0.000 2.869 2.373
Br 2.869 0.000 2.373
Br 0.000 0.000 4.746
```

Output
E above lowest polymorph ... 156 meV per atom
Space-group type ... No. 122
Raw formation energy ... 0.054 eV/atom

***

N(E_F) list, top to bottom, in states/eV/atom: 0.268 0.197 0.209 0.631